Entry 1:
Computed, not measured: a relaxed Na3MnBAsO7 crystal at the PBEsol level of DFT.

```
data_Na3MnBAsO7
_chemical_formula_sum 'Na6 Mn2 B2 As2 O14'
_cell_length_a 5.189
_cell_length_b 7.123
_cell_length_c 8.813
_cell_angle_alpha 90.00
_cell_angle_beta 92.08
_cell_angle_gamma 90.00
_symmetry_space_group_name_H-M 'P 1 21/m 1'
_symmetry_Int_Tables_number 11
_symmetry_space_group_name_Hall '-P 2yb'
loop_
_atom_site_label
_atom_site_type_symbol
_atom_site_fract_x
_atom_site_fract_y
_atom_site_fract_z
Na1 Na 0.231 0.250 0.076
Na2 Na 0.255 0.504 0.748
Mn1 Mn 0.216 0.750 0.330
B1 B 0.279 0.750 0.065
As1 As 0.280 0.250 0.418
O1 O 0.040 0.750 0.135
O2 O 0.122 0.250 0.586
O3 O 0.212 0.060 0.307
O4 O 0.313 0.750 0.916
O5 O 0.394 0.750 0.529
O6 O 0.476 0.750 0.180
```

Values from the calculation:
- ΔE_f (raw): -1.7959 eV per atom

***

Entry 2:
Computed, not measured: a relaxed Ca3Tl4O9 crystal at the PBEsol level of DFT.

```
data_Ca3Tl4O9
_chemical_formula_sum 'Ca12 Tl16 O36'
_cell_length_a 12.307
_cell_length_b 6.660
_cell_length_c 11.129
_cell_angle_alpha 90.00
_cell_angle_beta 102.68
_cell_angle_gamma 90.00
_symmetry_space_group_name_H-M 'P 1 21/c 1'
_symmetry_Int_Tables_number 14
_symmetry_space_group_name_Hall '-P 2ybc'
loop_
_atom_site_label
_atom_site_type_symbol
_atom_site_fract_x
_atom_site_fract_y
_atom_site_fract_z
Ca1 Ca 0.128 0.124 0.013
Ca2 Ca 0.283 0.624 0.799
Ca3 Ca 0.295 0.128 0.802
Tl1 Tl 0.000 0.125 0.252
Tl2 Tl 0.129 0.628 0.010
Tl3 Tl 0.436 0.125 0.101
Tl4 Tl 0.438 0.625 0.098
O1 O 0.047 0.123 0.617
O2 O 0.056 0.629 0.623
O3 O 0.162 0.625 0.374
O4 O 0.163 0.121 0.375
O5 O 0.280 0.623 0.153
O6 O 0.284 0.125 0.158
O7 O 0.396 0.122 0.444
O8 O 0.399 0.628 0.441
O9 O 0.495 0.125 0.753
```

Values from the calculation:
- ΔE_f (raw): -1.5817 eV per atom

***

Entry 3:
Computed, not measured: a relaxed PrPb2 crystal at the PBEsol level of DFT.

```
data_PrPb2
_chemical_formula_sum 'Pr8 Pb16'
_cell_length_a 4.697
_cell_length_b 4.697
_cell_length_c 31.390
_cell_angle_alpha 90.00
_cell_angle_beta 90.00
_cell_angle_gamma 90.00
_symmetry_space_group_name_H-M 'I 41/a m d'
_symmetry_Int_Tables_number 141
loop_
_symmetry_equiv_pos_as_xyz
'x,y,z'
'-x,-y,-z'
'-y+1/4,x+3/4,z+1/4'
'y+1/4,-x+3/4,-z+1/4'
'-x+1/2,-y,z+1/2'
'x+1/2,y,-z+1/2'
'y+1/4,-x+1/4,z+3/4'
'-y+1/4,x+1/4,-z+3/4'
'x,-y,-z'
'-x,y,z'
'-y+1/4,-x+1/4,-z+3/4'
'y+1/4,x+1/4,z+3/4'
'-x+1/2,y,-z+1/2'
'x+1/2,-y,z+1/2'
'y+1/4,x+3/4,-z+1/4'
'-y+1/4,-x+3/4,z+1/4'
'x+1/2,y+1/2,z+1/2'
'-x+1/2,-y+1/2,-z+1/2'
'-y+3/4,x+1/4,z+3/4'
'y+3/4,-x+1/4,-z+3/4'
'-x,-y+1/2,z'
'x,y+1/2,-z'
'y+3/4,-x+3/4,z+1/4'
'-y+3/4,x+3/4,-z+1/4'
'x+1/2,-y+1/2,-z+1/2'
'-x+1/2,y+1/2,z+1/2'
'-y+3/4,-x+3/4,-z+1/4'
'y+3/4,x+3/4,z+1/4'
'-x,y+1/2,-z'
'x,-y+1/2,z'
'y+3/4,x+1/4,-z+3/4'
'-y+3/4,-x+1/4,z+3/4'
loop_
_atom_site_label
_atom_site_type_symbol
_atom_site_fract_x
_atom_site_fract_y
_atom_site_fract_z
Pr1 Pr 0.000 0.250 0.301
Pb1 Pb 0.000 0.250 0.125
Pb2 Pb 0.000 0.250 0.786
```

Values from the calculation:
- DFT formation energy: -0.523 eV per atom
- DOS(E_F): 1.70 states/eV/f.u.

***

Entry 4:
Computed, not measured: a relaxed BaSc2P crystal at the PBEsol level of DFT.

```
data_BaSc2P
_chemical_formula_sum 'Ba1 Sc2 P1'
_cell_length_a 3.626
_cell_length_b 3.626
_cell_length_c 7.824
_cell_angle_alpha 90.00
_cell_angle_beta 90.00
_cell_angle_gamma 90.00
_symmetry_space_group_name_H-M 'P 4 m m'
_symmetry_Int_Tables_number 99
_symmetry_space_group_name_Hall 'P 4 -2'
loop_
_atom_site_label
_atom_site_type_symbol
_atom_site_fract_x
_atom_site_fract_y
_atom_site_fract_z
Ba1 Ba 0.000 0.000 0.000
Sc1 Sc 0.000 0.000 0.397
Sc2 Sc 0.500 0.500 0.633
P1 P 0.500 0.500 0.299
```

Values from the calculation:
- DFT formation energy: -0.540 eV per atom
- DOS(E_F): 4.95 states/eV/f.u.

***

Entry 5:
Computed, not measured: a relaxed Sr2Re2Pd crystal at the PBEsol level of DFT.

```
data_Sr2Re2Pd
_chemical_formula_sum 'Sr4 Re4 Pd2'
_cell_length_a 6.028
_cell_length_b 6.028
_cell_length_c 7.293
_cell_angle_alpha 90.00
_cell_angle_beta 90.00
_cell_angle_gamma 90.00
_symmetry_space_group_name_H-M 'I 4/m m m'
_symmetry_Int_Tables_number 139
_symmetry_space_group_name_Hall '-I 4 2'
loop_
_atom_site_label
_atom_site_type_symbol
_atom_site_fract_x
_atom_site_fract_y
_atom_site_fract_z
Sr1 Sr 0.000 0.500 0.250
Re1 Re 0.000 0.000 0.152
Pd1 Pd 0.000 0.000 0.500
```

Values from the calculation:
- DFT formation energy: 1.206 eV per atom
- DOS(E_F): 6.99 states/eV/f.u.

***

Entry 6:
Computed, not measured: a relaxed Sc3IrPb crystal at the PBEsol level of DFT.

```
data_Sc3IrPb
_chemical_formula_sum 'Sc3 Ir1 Pb1'
_cell_length_a 5.161
_cell_length_b 5.161
_cell_length_c 5.161
_cell_angle_alpha 90.00
_cell_angle_beta 90.00
_cell_angle_gamma 90.00
_symmetry_space_group_name_H-M 'P m -3 m'
_symmetry_Int_Tables_number 221
_symmetry_space_group_name_Hall '-P 4 2 3'
loop_
_atom_site_label
_atom_site_type_symbol
_atom_site_fract_x
_atom_site_fract_y
_atom_site_fract_z
Sc1 Sc 0.000 0.000 0.500
Ir1 Ir 0.500 0.500 0.500
Pb1 Pb 0.000 0.000 0.000
```

Values from the calculation:
- DFT formation energy: 1.023 eV per atom
- DOS(E_F): 4.27 states/eV/f.u.

***

Entry 7:
Computed, not measured: a relaxed CaNi2As2 crystal at the PBEsol level of DFT.

```
data_CaNi2As2
_chemical_formula_sum 'Ca2 Ni4 As4'
_cell_length_a 4.028
_cell_length_b 4.028
_cell_length_c 9.854
_cell_angle_alpha 90.00
_cell_angle_beta 90.00
_cell_angle_gamma 90.00
_symmetry_space_group_name_H-M 'I 4/m m m'
_symmetry_Int_Tables_number 139
_symmetry_space_group_name_Hall '-I 4 2'
loop_
_atom_site_label
_atom_site_type_symbol
_atom_site_fract_x
_atom_site_fract_y
_atom_site_fract_z
Ca1 Ca 0.000 0.000 0.000
Ni1 Ni 0.000 0.500 0.250
As1 As 0.000 0.000 0.369
```

Values from the calculation:
- DFT formation energy: -0.710 eV per atom
- DOS(E_F): 2.61 states/eV/f.u.

***

Entry 8:
Computed, not measured: a relaxed LiCuHSO5 crystal at the PBEsol level of DFT.

```
data_LiCuHSO5
_chemical_formula_sum 'Li2 Cu2 H2 S2 O10'
_cell_length_a 4.608
_cell_length_b 5.625
_cell_length_c 7.623
_cell_angle_alpha 90.00
_cell_angle_beta 94.25
_cell_angle_gamma 90.00
_symmetry_space_group_name_H-M 'P 1 21/m 1'
_symmetry_Int_Tables_number 11
_symmetry_space_group_name_Hall '-P 2yb'
loop_
_atom_site_label
_atom_site_type_symbol
_atom_site_fract_x
_atom_site_fract_y
_atom_site_fract_z
Li1 Li 0.206 0.250 0.344
Cu1 Cu 0.000 0.000 0.000
H1 H 0.314 0.750 0.829
S1 S 0.421 0.250 0.741
O1 O 0.105 0.750 0.849
O2 O 0.207 0.250 0.591
O3 O 0.258 0.250 0.913
O4 O 0.400 0.533 0.248
```

Values from the calculation:
- E_tot: -5.811 eV/atom

***

Entry 9:
Computed, not measured: a relaxed Ba2Zn2ClF7 crystal at the PBEsol level of DFT.

```
data_Ba2Zn2ClF7
_chemical_formula_sum 'Ba4 Zn4 Cl2 F14'
_cell_length_a 7.661
_cell_length_b 5.789
_cell_length_c 8.871
_cell_angle_alpha 90.00
_cell_angle_beta 106.85
_cell_angle_gamma 90.00
_symmetry_space_group_name_H-M 'P 1 21/m 1'
_symmetry_Int_Tables_number 11
_symmetry_space_group_name_Hall '-P 2yb'
loop_
_atom_site_label
_atom_site_type_symbol
_atom_site_fract_x
_atom_site_fract_y
_atom_site_fract_z
Ba1 Ba 0.167 0.250 0.411
Ba2 Ba 0.203 0.250 0.927
Zn1 Zn 0.314 0.750 0.174
Zn2 Zn 0.327 0.750 0.731
Cl1 Cl 0.381 0.750 0.469
F1 F 0.125 0.507 0.159
F2 F 0.138 0.000 0.654
F3 F 0.246 0.750 0.932
F4 F 0.493 0.003 0.170
```

Values from the calculation:
- DOS(E_F): 0.00 states/eV/f.u.
- ΔE_f (raw): -2.9605 eV per atom

***

Entry 10:
Computed, not measured: a relaxed AlPtRh2 crystal at the PBEsol level of DFT.

```
data_AlPtRh2
_chemical_formula_sum 'Al2 Pt2 Rh4'
_cell_length_a 5.496
_cell_length_b 7.252
_cell_length_c 2.773
_cell_angle_alpha 90.00
_cell_angle_beta 90.00
_cell_angle_gamma 90.00
_symmetry_space_group_name_H-M 'C m m m'
_symmetry_Int_Tables_number 65
_symmetry_space_group_name_Hall '-C 2 2'
loop_
_atom_site_label
_atom_site_type_symbol
_atom_site_fract_x
_atom_site_fract_y
_atom_site_fract_z
Al1 Al 0.000 0.000 0.000
Pt1 Pt 0.000 0.500 0.000
Rh1 Rh 0.250 0.250 0.500
```

Values from the calculation:
- DFT formation energy: -0.534 eV per atom
- DOS(E_F): 2.94 states/eV/f.u.

***

Entry 11:
Computed, not measured: a relaxed Be2AgAs crystal at the PBEsol level of DFT.

```
data_Be2AgAs
_chemical_formula_sum 'Be2 Ag1 As1'
_cell_length_a 2.797
_cell_length_b 3.372
_cell_length_c 5.717
_cell_angle_alpha 90.00
_cell_angle_beta 90.00
_cell_angle_gamma 90.00
_symmetry_space_group_name_H-M 'P m m 2'
_symmetry_Int_Tables_number 25
_symmetry_space_group_name_Hall 'P 2 -2'
loop_
_atom_site_label
_atom_site_type_symbol
_atom_site_fract_x
_atom_site_fract_y
_atom_site_fract_z
Be1 Be 0.000 0.000 0.000
Be2 Be 0.500 0.500 0.202
Ag1 Ag 0.000 0.000 0.413
As1 As 0.500 0.500 0.798
```

Values from the calculation:
- DFT formation energy: 0.265 eV per atom
- DOS(E_F): 1.02 states/eV/f.u.